No. 1
# Pr2Te2I PBE-GGA optimized geometry
# E above lowest polymorph = 0.000 eV per atom
# E = -49.03 eV per cell
# E_form (uncorrected) = -7.12 eV/f.u.
data_Pr2Te2I
_chemical_formula_sum 'Pr4 Te4 I2'
_cell_length_a 4.5179
_cell_length_b 4.5179
_cell_length_c 18.8854
_cell_angle_alpha 90.00
_cell_angle_beta 90.00
_cell_angle_gamma 90.00
_symmetry_space_group_name_H-M 'I 4/m m m'
_symmetry_Int_Tables_number 139
_symmetry_space_group_name_Hall '-I 4 2'
loop_
_atom_site_label
_atom_site_type_symbol
_atom_site_fract_x
_atom_site_fract_y
_atom_site_fract_z
Pr1 Pr 0.0000 0.0000 0.1662
Te1 Te 0.0000 0.0000 0.3381
I1 I 0.0000 0.0000 0.0000

No. 2
# CeHo2Er3Se6 PBE-GGA optimized geometry
# E = -140.85 eV per cell
# E_form (uncorrected) = -20.74 eV/f.u.
data_CeHo2Er3Se6
_chemical_formula_sum 'Ce2 Ho4 Er6 Se12'
_cell_length_a 17.7637
_cell_length_b 4.0464
_cell_length_c 8.1976
_cell_angle_alpha 90.00
_cell_angle_beta 103.52
_cell_angle_gamma 90.00
_symmetry_space_group_name_H-M 'C 1 2/m 1'
_symmetry_Int_Tables_number 12
_symmetry_space_group_name_Hall '-C 2y'
loop_
_atom_site_label
_atom_site_type_symbol
_atom_site_fract_x
_atom_site_fract_y
_atom_site_fract_z
Ce1 Ce 0.0000 0.0000 0.0000
Ho1 Ho 0.1637 0.5000 0.3279
Er1 Er 0.0000 0.0000 0.5000
Er2 Er 0.1637 0.5000 0.8342
Se1 Se 0.9998 0.5000 0.2607
Se2 Se 0.1679 0.0000 0.5841
Se3 Se 0.1719 0.0000 0.0843

No. 3
# Pr2TmIn PBE-GGA optimized geometry
# E above lowest polymorph = 0.000 eV per atom
# E = -17.82 eV per cell
# ΔE_f = -0.26 eV/atom
data_Pr2TmIn
_chemical_formula_sum 'Pr2 Tm1 In1'
_cell_length_a 4.9243
_cell_length_b 4.9243
_cell_length_c 5.0128
_cell_angle_alpha 90.00
_cell_angle_beta 90.00
_cell_angle_gamma 90.00
_symmetry_space_group_name_H-M 'P 4/m m m'
_symmetry_Int_Tables_number 123
_symmetry_space_group_name_Hall '-P 4 2'
loop_
_atom_site_label
_atom_site_type_symbol
_atom_site_fract_x
_atom_site_fract_y
_atom_site_fract_z
Pr1 Pr 0.0000 0.5000 0.0000
Tm1 Tm 0.0000 0.0000 0.5000
In1 In 0.5000 0.5000 0.5000

No. 4
# LiPr2GaTe5 PBE-GGA optimized geometry
# E = -159.33 eV per cell
# E_form (uncorrected) = -9.62 eV/f.u.
data_LiPr2GaTe5
_chemical_formula_sum 'Li4 Pr8 Ga4 Te20'
_cell_length_a 4.3055
_cell_length_b 19.4921
_cell_length_c 12.8783
_cell_angle_alpha 90.00
_cell_angle_beta 90.00
_cell_angle_gamma 90.00
_symmetry_space_group_name_H-M 'C m c 21'
_symmetry_Int_Tables_number 36
_symmetry_space_group_name_Hall 'C 2c -2'
loop_
_atom_site_label
_atom_site_type_symbol
_atom_site_fract_x
_atom_site_fract_y
_atom_site_fract_z
Li1 Li 0.0000 0.2115 0.0000
Pr1 Pr 0.0000 0.1179 0.6625
Pr2 Pr 0.0000 0.1314 0.2853
Ga1 Ga 0.0000 0.4266 0.4379
Te1 Te 0.0000 0.0439 0.0536
Te2 Te 0.0000 0.2887 0.6480
Te3 Te 0.0000 0.3124 0.3268
Te4 Te 0.0000 0.3557 0.9779
Te5 Te 0.0000 0.4998 0.2627

No. 5
# RbBaTaAg2 PBE-GGA optimized geometry
# E = -11.34 eV per cell
# ΔE_f = 1.82 eV/atom
data_RbBaTaAg2
_chemical_formula_sum 'Rb1 Ba1 Ta1 Ag2'
_cell_length_a 5.5773
_cell_length_b 5.5773
_cell_length_c 6.2444
_cell_angle_alpha 90.00
_cell_angle_beta 90.00
_cell_angle_gamma 90.00
_symmetry_space_group_name_H-M 'P 4/m m m'
_symmetry_Int_Tables_number 123
_symmetry_space_group_name_Hall '-P 4 2'
loop_
_atom_site_label
_atom_site_type_symbol
_atom_site_fract_x
_atom_site_fract_y
_atom_site_fract_z
Rb1 Rb 0.0000 0.0000 0.0000
Ba1 Ba 0.0000 0.0000 0.5000
Ta1 Ta 0.5000 0.5000 0.5000
Ag1 Ag 0.0000 0.5000 0.0000

No. 6
# V2CuTcH PBE-GGA optimized geometry
# E above lowest polymorph = 0.006 eV per atom
# E = -36.14 eV per cell
data_V2CuTcH
_chemical_formula_sum 'V2 Cu1 Tc1 H1'
_cell_length_a 3.9206
_cell_length_b 3.9206
_cell_length_c 3.5712
_cell_angle_alpha 90.00
_cell_angle_beta 90.00
_cell_angle_gamma 90.00
_symmetry_space_group_name_H-M 'P 4/m m m'
_symmetry_Int_Tables_number 123
_symmetry_space_group_name_Hall '-P 4 2'
loop_
_atom_site_label
_atom_site_type_symbol
_atom_site_fract_x
_atom_site_fract_y
_atom_site_fract_z
V1 V 0.0000 0.5000 0.0000
Cu1 Cu 0.0000 0.0000 0.5000
Tc1 Tc 0.5000 0.5000 0.5000
H1 H 0.0000 0.0000 0.0000